1.
Density functional theory data (GGA-PBE) for NaIn6Ag after structural relaxation.

Lattice parameters (Å, degrees): 4.953 4.953 9.241 90.00 90.00 90.00
Fractional coordinates of all 8 atoms:
Na  0.000  0.000  0.000
In  0.000  0.500  0.330
In  0.000  0.500  0.670
In  0.500  0.000  0.330
In  0.500  0.000  0.670
In  0.500  0.500  0.151
In  0.500  0.500  0.849
Ag  0.000  0.000  0.500

Summary:
Formation energy from the elements   -22 meV/atom
Calculated volume   226.69 Å³/f.u.
Space group   P4/mmm (123)
Crystal system   tetragonal
E_tot   -2.60 eV per atom


2.
Density functional theory data (GGA-PBE) for Na2In3Ag4 after structural relaxation.

Lattice parameters (Å, degrees): 4.864 4.893 9.093 86.32 86.82 62.90
Fractional coordinates of all 9 atoms:
Na  0.162  0.162  0.220
Na  0.838  0.838  0.780
In  0.172  0.173  0.579
In  0.500  0.500  0.000
In  0.828  0.827  0.421
Ag  0.171  0.170  0.901
Ag  0.491  0.488  0.339
Ag  0.509  0.512  0.661
Ag  0.829  0.830  0.099

Summary:
Formation energy from the elements   -53 meV/atom
Calculated volume   192.18 Å³/f.u.
Space group   P-1 (2)
Crystal system   triclinic
E_tot   -2.53 eV per atom


3.
Density functional theory data (GGA-PBE) for NaInAg3 after structural relaxation.

Lattice parameters (Å, degrees): 5.067 5.067 5.067 90.00 90.00 90.00
Fractional coordinates of all 5 atoms:
Na  0.000  0.000  0.000
In  0.500  0.500  0.500
Ag  0.000  0.000  0.500
Ag  0.000  0.500  0.000
Ag  0.500  0.000  0.000

Summary:
Formation energy from the elements   648 meV/atom
Calculated volume   130.11 Å³/f.u.
Energy relative to the lowest polymorph listed for this composition   702 meV/atom
Space group   Pm-3m (221)
Crystal system   cubic
E_tot   -1.87 eV per atom


4.
Density functional theory data (GGA-PBE) for Na2In6Ag after structural relaxation.

Lattice parameters (Å, degrees): 8.889 8.889 3.391 90.00 90.00 120.00
Fractional coordinates of all 9 atoms:
Na  0.333  0.667  0.000
Na  0.667  0.333  0.000
In  0.000  0.327  0.500
In  0.000  0.673  0.500
In  0.327  0.000  0.500
In  0.327  0.327  0.500
In  0.673  0.000  0.500
In  0.673  0.673  0.500
Ag  0.000  0.000  0.000

Summary:
Formation energy from the elements   -26 meV/atom
Calculated volume   232.10 Å³/f.u.
Energy relative to the lowest polymorph listed for this composition   31 meV/atom
Space group   P6/mmm (191)
Crystal system   hexagonal
E_tot   -2.46 eV per atom


5.
Density functional theory data (GGA-PBE) for Na6InAg2 after structural relaxation.

Lattice parameters (Å, degrees): 5.973 5.973 10.539 105.82 105.82 46.02
Fractional coordinates of all 9 atoms:
Na  0.023  0.023  0.245
Na  0.227  0.227  0.599
Na  0.332  0.332  0.943
Na  0.668  0.668  0.057
Na  0.773  0.773  0.401
Na  0.977  0.977  0.755
In  0.500  0.500  0.500
Ag  0.328  0.328  0.239
Ag  0.672  0.672  0.761

Summary:
Formation energy from the elements   -32 meV/atom
Calculated volume   258.39 Å³/f.u.
Space group   C2/m (12)
Crystal system   monoclinic
E_tot   -1.85 eV per atom


6.
Density functional theory data (GGA-PBE) for NaIn2Ag4 after structural relaxation.

Lattice parameters (Å, degrees): 8.076 8.076 4.719 90.00 90.00 90.00
Fractional coordinates of all 14 atoms:
Na  0.000  0.000  0.000
Na  0.500  0.500  0.500
In  0.213  0.213  0.500
In  0.287  0.713  0.000
In  0.713  0.287  0.000
In  0.787  0.787  0.500
Ag  0.111  0.634  0.500
Ag  0.134  0.389  0.000
Ag  0.366  0.889  0.500
Ag  0.389  0.134  0.000
Ag  0.611  0.866  0.000
Ag  0.634  0.111  0.500
Ag  0.866  0.611  0.000
Ag  0.889  0.366  0.500

Summary:
Formation energy from the elements   -40 meV/atom
Calculated volume   153.90 Å³/f.u.
Energy relative to the lowest polymorph listed for this composition   6 meV/atom
Space group   P4_2/mnm (136)
Crystal system   tetragonal
E_tot   -2.64 eV per atom